Record 1
AlCuPt2: single point on PBEsol structure, SCAN.

The calculation puts the energy at -41.69 eV per atom. The value obtained for the total magnetization is 0.000 μB/f.u.

The space group is I4/mmm (No. 139) and the conventional cell measures 3.977, 3.977 and 6.881 Å, with angles of 90.00, 90.00 and 90.00 degrees. Symmetry generates all atoms from Al at (0.000, 0.000, 0.000), Cu at (0.000, 0.000, 0.500) and Pt at (0.000, 0.500, 0.250).

Record 2
AlCu2Pt: single point on PBEsol structure, SCAN.

The calculation puts the energy at -27.69 eV per atom. The value obtained for the total magnetization is 0.000 μB/f.u.

The space group is I-4m2 (No. 119) and the conventional cell measures 3.755, 3.755 and 7.284 Å, with angles of 90.00, 90.00 and 90.00 degrees. Symmetry generates all atoms from Al at (0.000, 0.000, 0.000), Cu at (0.000, 0.000, 0.500), Cu at (0.000, 0.500, 0.250) and Pt at (0.000, 0.500, 0.750).

Record 3
AlCuPt2: single point on PBEsol structure, SCAN.

The calculation puts the energy at -41.64 eV per atom. The value obtained for the total magnetization is 0.001 μB/f.u.

The space group is Cmmm (No. 65) and the conventional cell measures 5.566, 6.926 and 2.832 Å, with angles of 90.00, 90.00 and 90.00 degrees. Symmetry generates all atoms from Al at (0.000, 0.000, 0.000), Cu at (0.000, 0.500, 0.000) and Pt at (0.250, 0.250, 0.500).

Record 4
AlCu2Pt: single point on PBEsol structure, SCAN.

The calculation puts the energy at -27.63 eV per atom. The value obtained for the total magnetization is 0.000 μB/f.u.

The space group is Pmm2 (No. 25) and the conventional cell measures 2.766, 3.506 and 5.319 Å, with angles of 90.00, 90.00 and 90.00 degrees. Symmetry generates all atoms from Al at (0.000, 0.000, 0.000), Cu at (0.000, 0.000, 0.479), Cu at (0.500, 0.500, 0.264) and Pt at (0.500, 0.500, 0.761).

Record 5
AlCu2Pt: single point on PBEsol structure, SCAN.

The calculation puts the energy at -27.49 eV per atom. The value obtained for the total magnetization is 0.000 μB/f.u.

The space group is Cmmm (No. 65) and the conventional cell measures 5.122, 7.236 and 2.824 Å, with angles of 90.00, 90.00 and 90.00 degrees. Symmetry generates all atoms from Al at (0.000, 0.000, 0.000), Cu at (0.250, 0.250, 0.500) and Pt at (0.000, 0.500, 0.000).

Record 6
AlCuPt2: single point on PBEsol structure, SCAN.

The calculation puts the energy at -41.67 eV per atom. The value obtained for the total magnetization is 0.000 μB/f.u.

The space group is Pmmm (No. 47) and the conventional cell measures 2.824, 3.432 and 5.608 Å, with angles of 90.00, 90.00 and 90.00 degrees. Symmetry generates all atoms from Al at (0.000, 0.000, 0.000), Cu at (0.000, 0.000, 0.500) and Pt at (0.500, 0.500, 0.250).